Record 1
## Sc5MnIr6 (PBE-GGA)

Data for a relaxed structure of Sc5MnIr6.

The calculation puts the calculated volume at 16.41 Å³ per atom. The calculation puts the density of states at the Fermi level at 0.29 states/eV/atom. The energy relative to the elements is -862 meV/atom. Its total energy is -8.695 eV/atom.

```
Sc5MnIr6
1.0
-0.5806 4.4385 0.8064
-5.3260 -0.0673 -3.4652
-0.6591 -3.6721 6.9106
Sc Mn Ir
5 1 6
Direct
0.6629 0.1629 0.3257
0.3327 0.3327 0.6654
0.0000 0.5000 0.0000
0.6673 0.6673 0.3346
0.3371 0.8371 0.6743
0.0000 0.0000 0.0000
0.8344 0.5861 0.6688
0.8344 0.0827 0.6688
0.5000 0.7518 0.0000
0.5000 0.2482 0.0000
0.1656 0.9173 0.3312
0.1656 0.4139 0.3312
```


Record 2
## Sc2MnIr (PBE-GGA)

Data for a relaxed structure of Sc2MnIr.

The calculation puts the calculated volume at 17.40 Å³ per atom. The calculation puts the density of states at the Fermi level at 1.01 states/eV/atom. The energy relative to the elements is -327 meV/atom. Its total energy is -8.001 eV/atom.

```
Sc2MnIr
1.0
5.4075 0.0077 0.0000
2.6425 4.7179 0.0000
-4.0250 -2.3628 2.7309
Ir Mn Sc
1 1 2
Direct
0.5000 0.5000 0.0000
0.7500 0.2500 0.5000
0.0000 0.0000 0.0000
0.2500 0.7500 0.5000
```


Record 3
## ScMnIr2 (PBE-GGA)

Data for a relaxed structure of ScMnIr2.

The calculation puts the calculated volume at 16.10 Å³ per atom. The calculation puts the density of states at the Fermi level at 0.65 states/eV/atom. The energy relative to the elements is -195 meV/atom. Its total energy is -8.501 eV/atom.

```
ScMnIr2
1.0
-1.7222 -2.2043 -1.8702
2.8741 -1.0726 -1.3825
0.5232 -3.8969 4.1113
Ir Mn Sc
2 1 1
Direct
0.0000 0.0000 0.9914
0.5000 0.5000 0.2910
0.0000 0.0000 0.4504
0.5000 0.5000 0.7672
```


Record 4
## ScMnIr (PBE-GGA)

Data for a relaxed structure of ScMnIr.

The calculation puts the calculated volume at 19.10 Å³ per atom. The calculation puts the density of states at the Fermi level at 0.72 states/eV/atom. The energy relative to the elements is 306 meV/atom. Its total energy is -7.815 eV/atom. The calculation puts the energy relative to the lowest polymorph listed for this composition at 72.0 kJ/mol of atoms.

```
ScMnIr
1.0
4.3272 0.0000 0.0000
2.1636 3.7475 0.0000
2.1636 1.2492 3.5331
Ir Mn Sc
1 1 1
Direct
0.0000 0.0000 0.0000
0.5000 0.5000 0.5000
0.7500 0.7500 0.7500
```


Record 5
## Sc2MnSi4Ir3 (PBE-GGA)

Data for a relaxed structure of Sc2MnSi4Ir3.

The calculation puts the calculated volume at 15.86 Å³ per atom. Its uncorrected formation energy is -8.35 eV/f.u. The calculation puts the density of states at the Fermi level at 0.56 states/eV/atom. Its total energy is -7.845 eV/atom.

```
Sc2MnSi4Ir3
1.0
3.9048 0.0000 0.0000
0.0000 3.9048 0.0000
0.0000 0.0000 10.3998
Sc Mn Si Ir
2 1 4 3
Direct
0.5000 0.0000 0.2609
0.0000 0.5000 0.7391
0.5000 0.5000 0.5000
0.5000 0.5000 0.0000
0.0000 0.0000 0.0000
0.5000 0.0000 0.6373
0.0000 0.5000 0.3627
0.0000 0.0000 0.5000
0.5000 0.0000 0.8650
0.0000 0.5000 0.1350
```


Record 6
## Sc2TiMnIr (PBE-GGA)

Data for a relaxed structure of Sc2TiMnIr.

The calculation puts the calculated volume at 19.37 Å³ per atom. The calculation puts the density of states at the Fermi level at 1.11 states/eV/atom. The energy relative to the elements is 369 meV/atom. Its total energy is -7.349 eV/atom.

```
Sc2TiMnIr
1.0
4.6014 0.0000 0.0000
0.0000 4.5736 0.0000
0.0000 0.0000 4.6014
Sc Ir Mn Ti
2 1 1 1
Direct
0.0000 0.0000 0.5000
0.5000 0.0000 0.0000
0.0000 0.5000 0.0000
0.0000 0.0000 0.0000
0.5000 0.5000 0.5000
```


Record 7
## MnIr2Se (PBE-GGA)

Data for a relaxed structure of MnIr2Se.

The calculation puts the calculated volume at 15.40 Å³ per atom. Its uncorrected formation energy is 1.75 eV/f.u. The calculation puts the density of states at the Fermi level at 1.14 states/eV/atom. Its total energy is -7.156 eV/atom.

```
MnIr2Se
1.0
2.8181 0.0025 0.0000
-1.4181 2.4353 0.0000
0.0000 0.0000 8.9725
Ir Mn Se
2 1 1
Direct
0.0000 0.0000 0.0042
0.5000 0.5000 0.2593
0.0000 0.0000 0.4982
0.5000 0.5000 0.7384
```


Record 8
## MnIr3Se (PBE-GGA)

Data for a relaxed structure of MnIr3Se.

The calculation puts the calculated volume at 19.17 Å³ per atom. Its uncorrected formation energy is 5.89 eV/f.u. The calculation puts the density of states at the Fermi level at 1.30 states/eV/atom. Its total energy is -6.669 eV/atom. The calculation puts the energy relative to the lowest polymorph listed for this composition at 0.0 kJ/mol of atoms.

```
MnIr3Se
1.0
4.5764 0.0000 0.0000
0.0000 4.5764 0.0000
0.0000 0.0000 4.5764
Mn Ir Se
1 3 1
Direct
0.5000 0.5000 0.5000
0.0000 0.5000 0.0000
0.0000 0.0000 0.5000
0.5000 0.0000 0.0000
0.0000 0.0000 0.0000
```